An optimized crystal structure of Zn2AsRh, computed with PBE-GGA.

Cell lengths 5.4285, 5.4285, 3.0231 Å; angles 72.00, 72.00, 118.31 degrees
Atoms (fractional coordinates):
Zn 0.0000 0.0000 0.0000
Zn 0.5000 0.5000 0.0000
Rh 0.0000 0.5000 0.5000
As 0.5000 0.0000 0.5000

Values from the calculation:
- total DFT energy (no corrections) (eV per atom) = -3.71
- symmetry = No. 12
- E_form (eV/atom) = -0.072